1.
VASP calculation (GGA-PBE) on a relaxed structure of Cs2InCl3.

Calculated values
Formation energy from raw total energies = -1.56 eV/atom
DFT total energy = -3.23 eV/atom
Space group = C2/c (15)

Cell: 7.1247 9.1115 16.3805 Å, 89.31 88.22 66.99°
Fractional coordinates of all 24 atoms:
Cs  0.1226  0.2192  0.5707
Cl  0.4660  0.6176  0.8726
Cl  0.6611  0.1839  0.5323
Cs  0.8774  0.7808  0.4293
Cs  0.0202  0.4073  0.1514
Cl  0.8450  0.8161  0.0323
Cl  0.0836  0.3824  0.3726
Cs  0.9798  0.5927  0.8486
Cl  0.3389  0.8161  0.4677
In  0.6659  0.9805  0.6675
Cl  0.9955  0.0090  0.2500
In  0.3536  0.9805  0.8325
Cs  0.4275  0.5927  0.6514
Cl  0.1550  0.1839  0.9677
Cs  0.3418  0.7808  0.0707
Cl  0.3602  0.2797  0.7500
In  0.6464  0.0195  0.1675
Cl  0.9164  0.6176  0.6274
Cl  0.6398  0.7203  0.2500
Cl  0.0045  0.9910  0.7500
In  0.3341  0.0195  0.3325
Cs  0.5725  0.4073  0.3486
Cs  0.6582  0.2192  0.9293
Cl  0.5340  0.3824  0.1274

=====

2.
VASP calculation (GGA-PBE) on a relaxed structure of CsIn3Cl.

Calculated values
Formation energy from raw total energies = -0.08 eV/atom
DFT total energy = -2.26 eV/atom
Energy above the most stable polymorph in this dataset = 0.0 kJ/mol of atoms
Space group = Pm-3m (221)

Cell: 5.9664 5.9664 5.9664 Å, 90.00 90.00 90.00°
Fractional coordinates of all 5 atoms:
In  0.0000  0.0000  0.5000
Cl  0.0000  0.0000  0.0000
In  0.5000  0.0000  0.0000
In  0.0000  0.5000  0.0000
Cs  0.5000  0.5000  0.5000

=====

3.
VASP calculation (GGA-PBE) on a relaxed structure of Cs12In3Cl5.

Calculated values
Formation energy from raw total energies = -0.88 eV/atom
DFT total energy = -2.26 eV/atom
Space group = Ia-3d (230)

Cell: 18.8804 18.8804 18.8804 Å, 109.47 109.47 109.47°
Last column: magnetic moment on the atom in μB.
Fractional coordinates of all 80 atoms:
Cs  0.3728  0.4081  0.0835  0.04
Cl  0.5000  0.0000  0.0000  0.01
Cs  0.7892  0.4647  0.3728  0.04
In  0.6250  0.3750  0.7500  0.41
In  0.2500  0.6250  0.8750  0.41
Cs  0.4081  0.0353  0.3245  0.04
Cs  0.9165  0.8245  0.7892  0.04
In  0.6250  0.2500  0.3750  0.41
Cs  0.9081  0.8245  0.5353  0.04
Cs  0.5919  0.6272  0.4165  0.04
Cs  0.6755  0.2108  0.5835  0.04
Cl  0.2500  0.8750  0.1250  0.01
Cs  0.1272  0.7108  0.5353  0.04
Cs  0.1272  0.4165  0.0919  0.04
Cl  0.5000  0.5000  0.0000  0.01
In  0.7500  0.3750  0.1250  0.41
Cs  0.5835  0.7108  0.6755  0.04
Cs  0.0353  0.4081  0.8245  0.04
Cs  0.4165  0.1272  0.5919  0.04
Cs  0.7892  0.3245  0.9165  0.04
Cs  0.5353  0.2108  0.1272  0.04
Cl  0.7500  0.6250  0.3750  0.01
Cs  0.0835  0.9081  0.3728  0.04
Cs  0.4165  0.2892  0.3245  0.04
Cs  0.9647  0.3728  0.2892  0.04
Cs  0.3245  0.5353  0.4081  0.04
Cl  0.5000  0.0000  0.5000  0.01
Cs  0.5835  0.8728  0.4081  0.04
Cl  0.6250  0.8750  0.2500  0.01
Cs  0.6272  0.0353  0.2108  0.04
Cs  0.3245  0.7892  0.4165  0.04
Cs  0.4647  0.6755  0.0919  0.04
Cs  0.9647  0.5919  0.1755  0.04
Cs  0.9165  0.0919  0.6272  0.04
In  0.8750  0.7500  0.1250  0.41
In  0.8750  0.1250  0.2500  0.41
Cl  0.0000  0.5000  0.0000  0.01
Cl  0.3750  0.1250  0.7500  0.01
Cs  0.9081  0.0835  0.8728  0.04
Cl  0.0000  0.0000  0.0000  0.01
Cs  0.2108  0.6755  0.0835  0.04
Cl  0.7500  0.1250  0.8750  0.01
Cs  0.7108  0.5835  0.1755  0.04
Cl  0.8750  0.6250  0.7500  0.01
Cl  0.6250  0.7500  0.8750  0.01
Cs  0.8728  0.2892  0.4647  0.04
Cl  0.3750  0.2500  0.1250  0.01
Cs  0.6272  0.5919  0.9165  0.04
Cs  0.2892  0.4165  0.8245  0.04
In  0.1250  0.2500  0.8750  0.41
Cl  0.1250  0.3750  0.2500  0.01
Cs  0.2892  0.8728  0.9647  0.04
In  0.7500  0.8750  0.6250  0.41
Cs  0.1755  0.0835  0.7108  0.04
Cs  0.6755  0.4647  0.5919  0.04
Cs  0.7108  0.1272  0.0353  0.04
In  0.2500  0.1250  0.3750  0.41
Cs  0.0835  0.1755  0.2108  0.04
Cs  0.4081  0.3728  0.5835  0.04
Cs  0.0919  0.1755  0.4647  0.04
Cs  0.0919  0.9165  0.1272  0.04
Cs  0.1755  0.0919  0.9647  0.04
In  0.1250  0.8750  0.7500  0.41
Cs  0.5919  0.9647  0.6755  0.04
Cl  0.5000  0.5000  0.5000  0.01
Cs  0.8245  0.9165  0.2892  0.04
Cs  0.0353  0.6272  0.7108  0.04
In  0.3750  0.6250  0.2500  0.41
Cl  0.2500  0.3750  0.6250  0.01
Cs  0.2108  0.5353  0.6272  0.04
Cs  0.5353  0.3245  0.9081  0.04
Cl  0.0000  0.5000  0.5000  0.01
Cs  0.8728  0.5835  0.9081  0.04
In  0.3750  0.7500  0.6250  0.41
Cs  0.8245  0.9081  0.0353  0.04
Cl  0.8750  0.2500  0.6250  0.01
Cl  0.1250  0.7500  0.3750  0.01
Cl  0.0000  0.0000  0.5000  0.01
Cs  0.4647  0.7892  0.8728  0.04
Cs  0.3728  0.9647  0.7892  0.04

=====

4.
VASP calculation (GGA-PBE) on a relaxed structure of CsInCl2.

Calculated values
Formation energy from raw total energies = -1.23 eV/atom
DFT total energy = -3.05 eV/atom
Energy above the most stable polymorph in this dataset = 15.2 kJ/mol of atoms
Space group = R-3m (166)

Cell: 9.8299 9.8299 9.8299 Å, 30.50 30.50 30.50°
Fractional coordinates of all 4 atoms:
In  0.0000  0.0000  0.0000
Cl  0.9004  0.9004  0.9004
Cs  0.5000  0.5000  0.5000
Cl  0.0996  0.0996  0.0996